1.
Ca2YBr | GGA-PBEsol | optimized geometry

Properties
The energy relative to the elements, uncorrected is -12.2 kcal/mol of atoms.

Lattice parameters (Å, degrees): 3.6493 3.6493 10.5870 90.00 90.00 115.50
With the nearest neighbours (Å) after each atom.
Fractional coordinates of all 4 atoms:
1 Ca 0.0000 0.0000 0.0000  2 Y 3.47, 6 Ca 3.65-3.67
2 Ca 0.5000 0.5000 0.2938  2 Br 3.03
3 Y 0.5000 0.5000 0.7283  2 Br 3.00
4 Br 0.0000 0.0000 0.5126  2 Y 3.00, 2 Ca 3.03

2.
ScAgOs2 | GGA-PBEsol | optimized geometry

Properties
As for the formation energy: 0.264 eV per atom.

Lattice parameters (Å, degrees): 4.4557 4.4557 4.4557 60.00 60.00 60.00
With the nearest neighbours (Å) after each atom.
Fractional coordinates of all 4 atoms:
1 Sc 0.0000 0.0000 0.0000  4 Ag 2.73, 4 Os 2.73
2 Ag 0.7500 0.7500 0.7500  4 Os 2.73, 4 Sc 2.73
3 Os 0.2500 0.2500 0.2500  4 Os 2.73, 4 Sc 2.73
4 Os 0.5000 0.5000 0.5000  4 Os 2.73, 4 Ag 2.73

| no. | magnetic moment (μB/f.u.) |
| --- | --- |
| 1 | 0.00 |
| 2 | 0.00 |